Entry 1:
Here is a relaxed Sr2TiCd crystal from Alexandria. Energies are from GGA-PBE.

a = 9.0405 Å, b = 9.0405 Å, c = 7.2444 Å
α = 51.39°, β = 51.39°, γ = 90.00°
With the nearest neighbours (Å) after each atom.
Fractional positions:
Sr 0.3750 0.3592 0.7500  2 Cd 3.21, 2 Ti 3.41, 2 Sr 3.42
Cd 0.0000 0.0000 0.0000  4 Sr 3.21, 2 Ti 3.41
Sr 0.8750 0.8908 0.7500  2 Cd 3.21, 2 Ti 3.41, 2 Sr 3.42
Ti 0.5000 0.5000 0.0000  4 Sr 3.41, 2 Cd 3.41
Sr 0.6408 0.1250 0.2500  2 Cd 3.21, 2 Ti 3.41, 2 Sr 3.42
Sr 0.1092 0.6250 0.2500  2 Cd 3.21, 2 Ti 3.41, 2 Sr 3.42
Ti 0.2500 0.7500 0.5000  4 Sr 3.41, 2 Cd 3.41
Cd 0.7500 0.2500 0.5000  4 Sr 3.21, 2 Ti 3.41

Results
The value obtained for the spin magnetization is 3.16 μB/f.u. The calculation puts the energy relative to the elements at 0.565 eV/atom. Its density of states at the Fermi level is 1.8921 states/eV per atom.

Entry 2:
Here is a relaxed Sm8As3HSe4 crystal from Alexandria. Energies are from GGA-PBE.

a = 8.2988 Å, b = 8.3186 Å, c = 8.2989 Å
α = 119.92°, β = 120.00°, γ = 90.00°
With the nearest neighbours (Å) after each atom.
Fractional positions:
As 0.0000 0.5000 0.5000  6 Sm 2.90-2.91
As 0.5000 0.5000 0.5000  6 Sm 2.90-2.91
Se 0.5000 0.0000 0.0000  6 Sm 2.94
Sm 0.7466 0.7398 0.4932  3 As 2.90, 3 Se 2.98
Sm 0.7499 0.2554 0.0055  2 As 2.91, 3 Se 2.94-2.97, 1 H 2.94
Sm 0.7443 0.7446 0.9945  2 As 2.91, 3 Se 2.94-2.97, 1 H 2.94
Se 0.0000 0.0000 0.0000  6 Sm 2.97-2.98
H 0.0000 0.5000 0.0000  6 Sm 2.94
Sm 0.7498 0.2554 0.4997  2 As 2.91, 3 Se 2.94-2.97, 1 H 2.94
Se 0.5000 0.0000 0.5000  6 Sm 2.97-2.98
Sm 0.2501 0.7446 0.9945  2 As 2.91, 3 Se 2.94-2.97, 1 H 2.94
Sm 0.2534 0.2602 0.5068  3 As 2.90, 3 Se 2.98
Sm 0.2557 0.2554 0.0055  2 As 2.91, 3 Se 2.94-2.97, 1 H 2.94
As 0.5000 0.5000 0.0000  6 Sm 2.90-2.91
Sm 0.2502 0.7446 0.5003  2 As 2.91, 3 Se 2.94-2.97, 1 H 2.94
Se 0.0000 0.0000 0.5000  6 Sm 2.97-2.98

Results
The value obtained for the spin magnetization is 0.00 μB/f.u. The raw total energy is -5.840 eV/atom. Its density of states at the Fermi level is 0.3334 states/eV per atom.

Entry 3:
Here is a relaxed K2AcSb2O6 crystal from Alexandria. Energies are from GGA-PBE.

a = 6.5372 Å, b = 6.1016 Å, c = 7.6571 Å
α = 112.42°, β = 90.00°, γ = 122.39°
With the nearest neighbours (Å) after each atom.
Fractional positions:
O 0.7552 0.5104 0.5317  1 Sb 1.93
O 0.1850 0.8990 0.2369  1 Sb 1.95
Sb 0.9364 0.8727 0.7700  3 O 1.93-1.95
Sb 0.0636 0.1273 0.2300  3 O 1.93-1.95
O 0.2860 0.1010 0.7631  1 Sb 1.95
O 0.7140 0.8990 0.2369  1 Sb 1.95
Ac 0.5000 0.0000 0.5000  6 O 2.52-2.53
O 0.8150 0.1010 0.7631  1 Sb 1.95
K 0.7008 0.4016 0.1442  3 O 2.76-2.79
K 0.2992 0.5984 0.8558  3 O 2.76-2.79
O 0.2448 0.4896 0.4683  1 Sb 1.93

Results
The value obtained for the spin magnetization is 0.97 μB/f.u. As for the formation energy (no corrections): -1.841 eV per atom. Its density of states at the Fermi level is 0.1557 states/eV per atom.

Entry 4:
Here is a relaxed Be2TlPb crystal from Alexandria. Energies are from GGA-PBE.

a = 4.0931 Å, b = 5.4246 Å, c = 3.6192 Å
α = 90.00°, β = 90.00°, γ = 90.00°
With the nearest neighbours (Å) after each atom.
Fractional positions:
Be 0.0000 0.0000 0.0000  4 Pb 2.73
Pb 0.5000 0.0000 0.5000  4 Be 2.73
Be 0.5000 0.5000 0.0000  4 Tl 2.73
Tl 0.0000 0.5000 0.5000  4 Be 2.73

Results
The value obtained for the spin magnetization is 0.00 μB/f.u. The calculation puts the energy relative to the elements at 0.803 eV/atom. Its density of states at the Fermi level is 0.3273 states/eV per atom. For the distance to the lowest polymorph of the same formula, the calculation gives 290.1 meV/atom.